No. 1
ZrBe3Sb (PBE, relaxed); ΔE to the lowest computed polymorph = 1.72 eV/f.u.; formation energy without anion corrections = 1.5015 eV per atom; energy = -3.268 eV per atom
1.0
4.6985 0.0000 0.0000
0.0000 4.6985 0.0000
0.0000 0.0000 4.6985
Zr Be Sb
1 3 1
Direct
0.0000 0.0000 0.0000
0.0000 0.0000 0.5000
0.0000 0.5000 0.0000
0.5000 0.0000 0.0000
0.5000 0.5000 0.5000

No. 2
LiMn2Cu (PBE, relaxed); calculated formation energy = 1.038 eV per formula unit; energy = -5.828 eV per atom
1.0
2.3623 0.0000 0.0000
0.0000 3.8989 0.0000
-0.8273 0.0000 4.9222
Li Mn Cu
1 2 1
Direct
0.0000 0.0000 0.0000
0.6041 0.0000 0.4814
0.7948 0.5000 0.2922
0.2826 0.5000 0.7807

No. 3
Sm6SiTe3Se2 (PBE, relaxed); formation energy without anion corrections = -1.4849 eV per atom; energy = -5.663 eV per atom
1.0
9.5051 -2.1400 0.0000
9.5051 2.1400 0.0000
-2.2661 0.0000 8.4366
Sm Si Te Se
6 1 3 2
Direct
0.0038 0.0038 0.2268
0.3285 0.3285 0.4345
0.3446 0.3446 0.9076
0.6554 0.6554 0.0924
0.6715 0.6715 0.5655
0.9962 0.9962 0.7732
0.5000 0.5000 0.0000
0.1691 0.1691 0.8319
0.5000 0.5000 0.5000
0.8309 0.8309 0.1681
0.1672 0.1672 0.3319
0.8328 0.8328 0.6681

No. 4
AgC3N (PBE, relaxed); ΔE to the lowest computed polymorph = 5.32 eV/f.u.; formation energy without anion corrections = 4.4037 eV per atom; energy = -3.366 eV per atom
1.0
4.1017 0.0000 0.0000
0.0000 4.1017 0.0000
0.0000 0.0000 4.1017
Ag C N
1 3 1
Direct
0.0000 0.0000 0.0000
0.0000 0.0000 0.5000
0.0000 0.5000 0.0000
0.5000 0.0000 0.0000
0.5000 0.5000 0.5000

No. 5
Dy2Ga5Ni3 (PBE, relaxed); ΔE to the lowest computed polymorph = 0.39 eV/f.u.; calculated formation energy = -5.725 eV per formula unit; energy = -4.741 eV per atom
1.0
2.0905 -12.0880 0.0000
2.0905 12.0880 0.0000
0.0000 0.0000 6.5612
Dy Ga Ni
4 10 6
Direct
0.0192 0.9808 0.5000
0.3261 0.6739 0.4636
0.6739 0.3261 0.9636
0.9808 0.0192 0.0000
0.1001 0.8999 0.1504
0.2061 0.7939 0.6568
0.2110 0.7890 0.2556
0.3747 0.6253 0.9898
0.4474 0.5526 0.3198
0.5526 0.4474 0.8198
0.6253 0.3747 0.4898
0.7890 0.2110 0.7556
0.7939 0.2061 0.1568
0.8999 0.1001 0.6504
0.1073 0.8927 0.7642
0.2734 0.7266 0.9537
0.4497 0.5503 0.7138
0.5503 0.4497 0.2138
0.7266 0.2734 0.4537
0.8927 0.1073 0.2642

No. 6
Mo2H2Os (PBE, relaxed); ΔE to the lowest computed polymorph = 0.00 eV/f.u.; energy = -7.894 eV per atom
1.0
-1.4469 1.4469 6.1446
1.4469 -1.4469 6.1446
1.4469 1.4469 -6.1446
Mo H Os
2 2 1
Direct
0.1467 0.1467 0.0000
0.8533 0.8533 0.0000
0.2500 0.7500 0.5000
0.7500 0.2500 0.5000
0.5000 0.5000 0.0000

No. 7
Hg2SbI (PBE, relaxed); ΔE to the lowest computed polymorph = 0.64 eV/f.u.; formation energy without anion corrections = 0.0501 eV per atom; energy = -1.519 eV per atom
1.0
2.2050 1.2730 7.6635
-2.2050 1.2730 7.6635
0.0000 -2.5461 7.6635
Hg Sb I
2 1 1
Direct
0.0000 0.0000 0.0000
0.1972 0.1972 0.1972
0.5978 0.5978 0.5978
0.4240 0.4240 0.4240

No. 8
CaTaSi2 (PBE, relaxed); ΔE to the lowest computed polymorph = 0.38 eV/f.u.; formation energy without anion corrections = -0.1563 eV per atom; energy = -6.331 eV per atom
1.0
3.0257 0.0000 0.0000
0.0000 3.0257 0.0000
0.0000 0.0000 7.9543
Ca Ta Si
1 1 2
Direct
0.0000 0.0000 0.0000
0.0000 0.0000 0.5000
0.5000 0.5000 0.2780
0.5000 0.5000 0.7220

No. 9
BaNaBi (PBE, relaxed); calculated formation energy = -1.885 eV per formula unit; energy = -3.003 eV per atom
1.0
5.2833 0.0000 0.0000
-2.6416 4.5754 0.0000
0.0000 0.0000 4.8568
Ba Na Bi
1 1 1
Direct
0.0000 0.0000 0.0000
0.6667 0.3333 0.5000
0.3333 0.6667 0.5000

No. 10
MgCuS (PBE, relaxed); formation energy without anion corrections = -0.5751 eV per atom; energy = -3.848 eV per atom
1.0
5.4603 -1.8381 0.0000
5.4603 1.8381 0.0000
-1.4099 0.0000 4.9513
Mg Cu S
2 2 2
Direct
0.1556 0.1556 0.1989
0.8444 0.8444 0.8011
0.4494 0.4494 0.1869
0.5506 0.5506 0.8131
0.1624 0.1624 0.6895
0.8376 0.8376 0.3105

No. 11
Sc2MoP (PBE, relaxed); calculated formation energy = -1.385 eV per formula unit; energy = -7.572 eV per atom
1.0
1.8375 -2.4576 0.0000
1.8375 2.4576 0.0000
0.0000 0.0000 7.9599
Sc Mo P
2 1 1
Direct
0.0000 0.0000 0.2307
0.0000 0.0000 0.7693
0.5000 0.5000 0.5000
0.5000 0.5000 0.0000

No. 12
Na3InSn6 (PBE, relaxed); calculated formation energy = -0.950 eV per formula unit; energy = -3.166 eV per atom
1.0
12.8054 -3.2886 0.0000
12.8054 3.2886 0.0000
-0.4515 0.0000 3.4003
Na In Sn
3 1 6
Direct
0.0000 0.0000 0.0000
0.2996 0.2996 0.7986
0.7004 0.7004 0.2014
0.5000 0.5000 0.5000
0.1364 0.6546 0.3926
0.1867 0.1867 0.1894
0.3454 0.8636 0.6074
0.6546 0.1364 0.3926
0.8133 0.8133 0.8106
0.8636 0.3454 0.6074

No. 13
NpZn2Ga (PBE, relaxed); ΔE to the lowest computed polymorph = 0.00 eV/f.u.; calculated formation energy = 0.291 eV per formula unit; energy = -4.556 eV per atom
1.0
0.0000 3.3477 3.3477
3.3477 0.0000 3.3477
3.3477 3.3477 0.0000
Np Zn Ga
1 2 1
Direct
0.0000 0.0000 0.0000
0.2500 0.2500 0.2500
0.7500 0.7500 0.7500
0.5000 0.5000 0.5000